[1]
# BeGe3Te | Alexandria | PBE | relaxed
data_BeGe3Te
_chemical_formula_sum 'Be1 Ge3 Te1'
_space_group_name_H-M_alt 'P m -3 m'
_space_group_IT_number 221
_space_group_name_Hall '-P 4 2 3'
_cell_length_a 4.6719
_cell_length_b 4.6719
_cell_length_c 4.6719
_cell_angle_alpha 90.00
_cell_angle_beta 90.00
_cell_angle_gamma 90.00
loop_
_atom_site_label
_atom_site_type_symbol
_atom_site_fract_x
_atom_site_fract_y
_atom_site_fract_z
Be1 Be 0.0000 0.0000 0.0000
Ge1 Ge 0.0000 0.0000 0.5000
Te1 Te 0.5000 0.5000 0.5000
# polymorph energy (0 for the lowest one) = 0.000 eV per atom
# energy = -3.770 eV/atom
# DOS(E_F) = 0.588 states/eV/atom

***

[2]
# MgTlCdHg | Alexandria | PBE | relaxed
data_MgTlCdHg
_chemical_formula_sum 'Mg1 Tl1 Cd1 Hg1'
_space_group_name_H-M_alt 'P 4 m m'
_space_group_IT_number 99
_space_group_name_Hall 'P 4 -2'
_cell_length_a 3.3813
_cell_length_b 3.3813
_cell_length_c 8.6369
_cell_angle_alpha 90.00
_cell_angle_beta 90.00
_cell_angle_gamma 90.00
loop_
_atom_site_label
_atom_site_type_symbol
_atom_site_fract_x
_atom_site_fract_y
_atom_site_fract_z
Mg1 Mg 0.0000 0.0000 0.0000
Tl1 Tl 0.0000 0.0000 0.4945
Cd1 Cd 0.5000 0.5000 0.7764
Hg1 Hg 0.5000 0.5000 0.2073
# polymorph energy (0 for the lowest one) = 0.000 eV per atom
# energy = -1.350 eV/atom
# DOS(E_F) = 0.483 states/eV/atom
# formation enthalpy at 0 K = -0.22 eV per formula unit

***

[3]
# K2YGeSe4 | Alexandria | PBE | relaxed
data_K2YGeSe4
_chemical_formula_sum 'K8 Y4 Ge4 Se16'
_space_group_name_H-M_alt 'I m m a'
_space_group_IT_number 74
_space_group_name_Hall '-I 2b 2'
_cell_length_a 8.5601
_cell_length_b 8.6356
_cell_length_c 12.1650
_cell_angle_alpha 90.00
_cell_angle_beta 90.00
_cell_angle_gamma 90.00
loop_
_atom_site_label
_atom_site_type_symbol
_atom_site_fract_x
_atom_site_fract_y
_atom_site_fract_z
K1 K 0.0000 0.0000 0.0000
K2 K 0.2500 0.2500 0.2500
Y1 Y 0.0000 0.0000 0.5000
Ge1 Ge 0.2500 0.2500 0.7500
Se1 Se 0.0000 0.0390 0.7373
Se2 Se 0.2252 0.2500 0.5191
# energy = -4.498 eV/atom
# DOS(E_F) = 0.448 states/eV/atom

***

[4]
# Dy3ErGa2 | Alexandria | PBE | relaxed
data_Dy3ErGa2
_chemical_formula_sum 'Dy12 Er4 Ga8'
_space_group_name_H-M_alt 'C 1 2/m 1'
_space_group_IT_number 12
_space_group_name_Hall '-C 2y'
_cell_length_a 16.0021
_cell_length_b 5.0259
_cell_length_c 8.8515
_cell_angle_alpha 90.00
_cell_angle_beta 117.98
_cell_angle_gamma 90.00
loop_
_atom_site_label
_atom_site_type_symbol
_atom_site_fract_x
_atom_site_fract_y
_atom_site_fract_z
Dy1 Dy 0.0613 0.0000 0.2174
Dy2 Dy 0.1229 0.5000 0.0124
Dy3 Dy 0.1873 0.5000 0.4958
Er1 Er 0.1287 0.0000 0.6904
Ga1 Ga 0.0160 0.5000 0.6513
Ga2 Ga 0.2282 0.0000 0.1147
# polymorph energy (0 for the lowest one) = 0.110 eV per atom
# energy = -4.389 eV/atom
# DOS(E_F) = 0.856 states/eV/atom
# formation enthalpy at 0 K = -1.91 eV per formula unit

***

[5]
# Ti2Ag2As | Alexandria | PBE | relaxed
data_Ti2Ag2As
_chemical_formula_sum 'Ti4 Ag4 As2'
_space_group_name_H-M_alt 'P 4/m b m'
_space_group_IT_number 127
_space_group_name_Hall '-P 4 2ab'
_cell_length_a 6.5232
_cell_length_b 6.5232
_cell_length_c 4.4017
_cell_angle_alpha 90.00
_cell_angle_beta 90.00
_cell_angle_gamma 90.00
loop_
_atom_site_label
_atom_site_type_symbol
_atom_site_fract_x
_atom_site_fract_y
_atom_site_fract_z
Ti1 Ti 0.1460 0.3540 0.0000
Ag1 Ag 0.1506 0.6506 0.5000
As1 As 0.0000 0.0000 0.0000
# energy = -5.287 eV/atom
# DOS(E_F) = 0.684 states/eV/atom
# formation enthalpy at 0 K = -0.29 eV per formula unit

***

[6]
# LiCa3Eu | Alexandria | PBE | relaxed
data_LiCa3Eu
_chemical_formula_sum 'Li1 Ca3 Eu1'
_space_group_name_H-M_alt 'P m -3 m'
_space_group_IT_number 221
_space_group_name_Hall '-P 4 2 3'
_cell_length_a 5.9132
_cell_length_b 5.9132
_cell_length_c 5.9132
_cell_angle_alpha 90.00
_cell_angle_beta 90.00
_cell_angle_gamma 90.00
loop_
_atom_site_label
_atom_site_type_symbol
_atom_site_fract_x
_atom_site_fract_y
_atom_site_fract_z
Li1 Li 0.0000 0.0000 0.0000
Ca1 Ca 0.0000 0.0000 0.5000
Eu1 Eu 0.5000 0.5000 0.5000
# energy = -3.462 eV/atom
# DOS(E_F) = 1.165 states/eV/atom
# formation enthalpy at 0 K = 0.88 eV per formula unit

***

[7]
# TbPr4Er2Tm2 | Alexandria | PBE | relaxed
data_TbPr4Er2Tm2
_chemical_formula_sum 'Tb2 Pr8 Er4 Tm4'
_space_group_name_H-M_alt 'C 1 2/m 1'
_space_group_IT_number 12
_space_group_name_Hall '-C 2y'
_cell_length_a 15.3003
_cell_length_b 5.0833
_cell_length_c 8.0487
_cell_angle_alpha 90.00
_cell_angle_beta 108.28
_cell_angle_gamma 90.00
loop_
_atom_site_label
_atom_site_type_symbol
_atom_site_fract_x
_atom_site_fract_y
_atom_site_fract_z
Tb1 Tb 0.0000 0.0000 0.0000
Pr1 Pr 0.0532 0.5000 0.3297
Pr2 Pr 0.2233 0.0000 0.3312
Er1 Er 0.1115 0.0000 0.6703
Tm1 Tm 0.1680 0.5000 0.9998
# energy = -4.621 eV/atom
# DOS(E_F) = 1.491 states/eV/atom
# formation enthalpy at 0 K = 0.22 eV per formula unit

***

[8]
# TcAs2W | Alexandria | PBE | relaxed
data_TcAs2W
_chemical_formula_sum 'Tc1 As2 W1'
_space_group_name_H-M_alt 'P m m 2'
_space_group_IT_number 25
_space_group_name_Hall 'P 2 -2'
_cell_length_a 3.0545
_cell_length_b 4.5856
_cell_length_c 4.4366
_cell_angle_alpha 90.00
_cell_angle_beta 90.00
_cell_angle_gamma 90.00
loop_
_atom_site_label
_atom_site_type_symbol
_atom_site_fract_x
_atom_site_fract_y
_atom_site_fract_z
Tc1 Tc 0.0000 0.0000 0.0000
As1 As 0.0000 0.5000 0.2609
As2 As 0.5000 0.0000 0.5028
W1 W 0.5000 0.5000 0.7743
# polymorph energy (0 for the lowest one) = 0.000 eV per atom
# energy = -8.124 eV/atom
# DOS(E_F) = 0.579 states/eV/atom
# formation enthalpy at 0 K = 0.12 eV per formula unit

***

[9]
# BaInSiTc2 | Alexandria | PBE | relaxed
data_BaInSiTc2
_chemical_formula_sum 'Ba1 In1 Si1 Tc2'
_space_group_name_H-M_alt 'P 4/m m m'
_space_group_IT_number 123
_space_group_name_Hall '-P 4 2'
_cell_length_a 4.7055
_cell_length_b 4.7055
_cell_length_c 5.7337
_cell_angle_alpha 90.00
_cell_angle_beta 90.00
_cell_angle_gamma 90.00
loop_
_atom_site_label
_atom_site_type_symbol
_atom_site_fract_x
_atom_site_fract_y
_atom_site_fract_z
Ba1 Ba 0.0000 0.0000 0.0000
In1 In 0.5000 0.5000 0.0000
Si1 Si 0.0000 0.0000 0.5000
Tc1 Tc 0.0000 0.5000 0.5000
# energy = -5.334 eV/atom
# DOS(E_F) = 0.882 states/eV/atom

***

[10]
# ZrIn2Mo | Alexandria | PBE | relaxed
data_ZrIn2Mo
_chemical_formula_sum 'Zr1 In2 Mo1'
_space_group_name_H-M_alt 'P 4/m m m'
_space_group_IT_number 123
_space_group_name_Hall '-P 4 2'
_cell_length_a 3.0189
_cell_length_b 3.0189
_cell_length_c 8.8527
_cell_angle_alpha 90.00
_cell_angle_beta 90.00
_cell_angle_gamma 90.00
loop_
_atom_site_label
_atom_site_type_symbol
_atom_site_fract_x
_atom_site_fract_y
_atom_site_fract_z
Zr1 Zr 0.0000 0.0000 0.0000
In1 In 0.5000 0.5000 0.2654
Mo1 Mo 0.0000 0.0000 0.5000
# polymorph energy (0 for the lowest one) = 0.097 eV per atom
# energy = -6.081 eV/atom
# DOS(E_F) = 0.868 states/eV/atom
# formation enthalpy at 0 K = 0.53 eV per formula unit

***

[11]
# RbGeBiS4 | Alexandria | PBE | relaxed
data_RbGeBiS4
_chemical_formula_sum 'Rb2 Ge2 Bi2 S8'
_space_group_name_H-M_alt 'P 1 21/m 1'
_space_group_IT_number 11
_space_group_name_Hall '-P 2yb'
_cell_length_a 6.7056
_cell_length_b 6.8917
_cell_length_c 9.1534
_cell_angle_alpha 90.00
_cell_angle_beta 107.71
_cell_angle_gamma 90.00
loop_
_atom_site_label
_atom_site_type_symbol
_atom_site_fract_x
_atom_site_fract_y
_atom_site_fract_z
Rb1 Rb 0.2284 0.2500 0.4385
Ge1 Ge 0.2695 0.7500 0.1690
Bi1 Bi 0.2731 0.2500 0.9605
S1 S 0.0626 0.7500 0.9271
S2 S 0.0702 0.7500 0.3209
S3 S 0.4924 0.0012 0.2075
# polymorph energy (0 for the lowest one) = 0.013 eV per atom
# energy = -4.340 eV/atom
# DOS(E_F) = 0.000 states/eV/atom

***

[12]
# KHfZn2S | Alexandria | PBE | relaxed
data_KHfZn2S
_chemical_formula_sum 'K1 Hf1 Zn2 S1'
_space_group_name_H-M_alt 'P 4/m m m'
_space_group_IT_number 123
_space_group_name_Hall '-P 4 2'
_cell_length_a 5.2592
_cell_length_b 5.2592
_cell_length_c 6.8621
_cell_angle_alpha 90.00
_cell_angle_beta 90.00
_cell_angle_gamma 90.00
loop_
_atom_site_label
_atom_site_type_symbol
_atom_site_fract_x
_atom_site_fract_y
_atom_site_fract_z
K1 K 0.0000 0.0000 0.0000
Hf1 Hf 0.0000 0.0000 0.5000
Zn1 Zn 0.0000 0.5000 0.5000
S1 S 0.5000 0.5000 0.0000
# energy = -2.494 eV/atom
# DOS(E_F) = 0.842 states/eV/atom

***

> What is the DOS(E_F) in the seventh record?

1.491 states/eV/atom

***

What did the first record say?
# BeGe3Te | Alexandria | PBE | relaxed
data_BeGe3Te
_chemical_formula_sum 'Be1 Ge3 Te1'
_space_group_name_H-M_alt 'P m -3 m'
_space_group_IT_number 221
_space_group_name_Hall '-P 4 2 3'
_cell_length_a 4.6719
_cell_length_b 4.6719
_cell_length_c 4.6719
_cell_angle_alpha 90.00
_cell_angle_beta 90.00
_cell_angle_gamma 90.00
loop_
_atom_site_label
_atom_site_type_symbol
_atom_site_fract_x
_atom_site_fract_y
_atom_site_fract_z
Be1 Be 0.0000 0.0000 0.0000
Ge1 Ge 0.0000 0.0000 0.5000
Te1 Te 0.5000 0.5000 0.5000
# polymorph energy (0 for the lowest one) = 0.000 eV per atom
# energy = -3.770 eV/atom
# DOS(E_F) = 0.588 states/eV/atom

***

> energy of number 7 (TbPr4Er2Tm2)?

-4.621 eV/atom

***

> Among the records above, which one has the lowest DOS(E_F)?

RbGeBiS4